This record from the Alexandria database describes a relaxed LaMoOs2 crystal. The functional is GGA-PBEsol.

Unit cell a=2.8521 b=2.8521 c=9.8247 alpha=81.65 beta=81.65 gamma=60.00
Positions (direct):
Mo: 0.0000 0.0000 0.0000
La: 0.5000 0.5000 0.5000
Os: 0.2612 0.2612 0.2165
Os: 0.7388 0.7388 0.7835

Properties
* energy above the most stable polymorph in this dataset: 0.0 meV per atom
* DOS at the Fermi energy: 4.76 states/eV/f.u.
* formation enthalpy at 0 K: 0.4920 eV per atom
* magnetic moment: 0.0 μB/f.u.